[1]
Density functional theory data (PBE-GGA) for a relaxed structure of HfTl4Te4.

Structure (CIF):
```
data_HfTl4Te4
_chemical_formula_sum 'Hf9 Tl36 Te36'
_symmetry_space_group_name_H-M 'R -3'
_symmetry_Int_Tables_number 148
_symmetry_space_group_name_Hall '-R 3'
_cell_length_a 14.8715
_cell_length_b 14.8715
_cell_length_c 14.4746
_cell_angle_alpha 90.00
_cell_angle_beta 90.00
_cell_angle_gamma 120.00
loop_
_atom_site_label
_atom_site_fract_x
_atom_site_fract_y
_atom_site_fract_z
Hf1 0.0000 0.0000 0.0000
Hf2 0.0000 0.0000 0.2521
Tl1 0.0538 0.4423 0.5779
Tl2 0.0617 0.2535 0.4272
Te1 0.0337 0.1712 0.1223
Te2 0.0426 0.1870 0.6553
```

Properties
polymorph energy (0 for the lowest one) = 0.00 kcal/mol of atoms
formation energy without anion corrections = -485 meV/atom



[2]
Density functional theory data (PBE-GGA) for a relaxed structure of VSbAs2.

Structure (CIF):
```
data_VSbAs2
_chemical_formula_sum 'V3 Sb3 As6'
_symmetry_space_group_name_H-M 'R -3 m'
_symmetry_Int_Tables_number 166
_symmetry_space_group_name_Hall '-R 3 2"'
_cell_length_a 3.2414
_cell_length_b 3.2414
_cell_length_c 27.4034
_cell_angle_alpha 90.00
_cell_angle_beta 90.00
_cell_angle_gamma 120.00
loop_
_atom_site_label
_atom_site_fract_x
_atom_site_fract_y
_atom_site_fract_z
V1 0.0000 0.0000 0.0000
Sb1 0.0000 0.0000 0.5000
As1 0.0000 0.0000 0.3938
```

Properties
formation energy without anion corrections = -127 meV/atom
DOS at the Fermi energy = 4.55 states/eV per cell



[3]
Density functional theory data (PBE-GGA) for a relaxed structure of RbTlSe2.

Structure (CIF):
```
data_RbTlSe2
_chemical_formula_sum 'Rb2 Tl2 Se4'
_symmetry_space_group_name_H-M 'A m m 2'
_symmetry_Int_Tables_number 38
_cell_length_a 6.001
_cell_length_b 5.366
_cell_length_c 9.277
_cell_angle_alpha 90.00
_cell_angle_beta 90.00
_cell_angle_gamma 90.00
loop_
_symmetry_equiv_pos_as_xyz
'x,y,z'
'-x,-y,z'
'-x,y,z'
'x,-y,z'
'x,y+1/2,z+1/2'
'-x,-y+1/2,z+1/2'
'-x,y+1/2,z+1/2'
'x,-y+1/2,z+1/2'
loop_
_atom_site_label
_atom_site_fract_x
_atom_site_fract_y
_atom_site_fract_z
Rb1 0.000 0.000 0.000
Tl1 0.500 0.000 0.667
Se1 0.299 0.000 0.334
```

Properties
polymorph energy (0 for the lowest one) = 0.95 kcal/mol of atoms
formation energy without anion corrections = -626 meV/atom
DOS at the Fermi energy = 0.00 states/eV per cell



[4]
Density functional theory data (PBE-GGA) for a relaxed structure of NaMnPt.

Structure (CIF):
```
data_NaMnPt
_chemical_formula_sum 'Na2 Mn2 Pt2'
_symmetry_space_group_name_H-M 'P 63/m m c'
_symmetry_Int_Tables_number 194
_symmetry_space_group_name_Hall '-P 6c 2c'
_cell_length_a 5.2337
_cell_length_b 5.2337
_cell_length_c 9.5469
_cell_angle_alpha 90.00
_cell_angle_beta 90.00
_cell_angle_gamma 120.00
loop_
_atom_site_label
_atom_site_fract_x
_atom_site_fract_y
_atom_site_fract_z
Na1 0.3333 0.6667 0.2500
Mn1 0.0000 0.0000 0.2500
Pt1 0.0000 0.0000 0.0000
```

Properties
energy of formation from the pure elements = 1046 meV per atom
polymorph energy (0 for the lowest one) = 26.01 kcal/mol of atoms
DOS at the Fermi energy = 3.93 states/eV per cell



[5]
Density functional theory data (PBE-GGA) for a relaxed structure of Er4ThRu2.

Structure (CIF):
```
data_Er4ThRu2
_chemical_formula_sum 'Er8 Th2 Ru4'
_symmetry_space_group_name_H-M 'P 1 21/m 1'
_symmetry_Int_Tables_number 11
_cell_length_a 7.758
_cell_length_b 6.304
_cell_length_c 7.887
_cell_angle_alpha 90.00
_cell_angle_beta 112.72
_cell_angle_gamma 90.00
loop_
_symmetry_equiv_pos_as_xyz
'x,y,z'
'-x,-y,-z'
'-x,y+1/2,-z'
'x,-y+1/2,z'
loop_
_atom_site_label
_atom_site_fract_x
_atom_site_fract_y
_atom_site_fract_z
Er1 0.108 0.250 0.482
Er2 0.165 0.750 0.248
Er3 0.260 0.502 0.914
Th1 0.465 0.250 0.340
Ru1 0.092 0.250 0.130
Ru2 0.479 0.250 0.736
```

Properties
energy of formation from the pure elements = -277 meV per atom
DOS at the Fermi energy = 14.04 states/eV per cell



[6]
Density functional theory data (PBE-GGA) for a relaxed structure of AcCd2Ni.

Structure (CIF):
```
data_AcCd2Ni
_chemical_formula_sum 'Ac4 Cd8 Ni4'
_symmetry_space_group_name_H-M 'C m c m'
_symmetry_Int_Tables_number 63
_symmetry_space_group_name_Hall '-C 2c 2'
_cell_length_a 4.282
_cell_length_b 10.433
_cell_length_c 8.485
_cell_angle_alpha 90.00
_cell_angle_beta 90.00
_cell_angle_gamma 90.00
loop_
_atom_site_label
_atom_site_fract_x
_atom_site_fract_y
_atom_site_fract_z
Ac1 0.000 0.059 0.250
Cd1 0.000 0.346 0.052
Ni1 0.000 0.224 0.750
```

Properties
energy of formation from the pure elements = -292 meV per atom
DOS at the Fermi energy = 7.63 states/eV per cell



[7]
Density functional theory data (PBE-GGA) for a relaxed structure of HfBeCo2.

Structure (CIF):
```
data_HfBeCo2
_chemical_formula_sum 'Hf1 Be1 Co2'
_symmetry_space_group_name_H-M 'P 4/m m m'
_symmetry_Int_Tables_number 123
_symmetry_space_group_name_Hall '-P 4 2'
_cell_length_a 3.916
_cell_length_b 3.916
_cell_length_c 3.217
_cell_angle_alpha 90.00
_cell_angle_beta 90.00
_cell_angle_gamma 90.00
loop_
_atom_site_label
_atom_site_fract_x
_atom_site_fract_y
_atom_site_fract_z
Hf1 0.000 0.000 0.000
Be1 0.500 0.500 0.000
Co1 0.000 0.500 0.500
```

Properties
energy of formation from the pure elements = -280 meV per atom
DOS at the Fermi energy = 0.57 states/eV per cell



[8]
Density functional theory data (PBE-GGA) for a relaxed structure of MnBiAs2Br.

Structure (CIF):
```
data_MnBiAs2Br
_chemical_formula_sum 'Mn1 Bi1 As2 Br1'
_symmetry_space_group_name_H-M 'P 4/m m m'
_symmetry_Int_Tables_number 123
_symmetry_space_group_name_Hall '-P 4 2'
_cell_length_a 4.938
_cell_length_b 4.938
_cell_length_c 4.893
_cell_angle_alpha 90.00
_cell_angle_beta 90.00
_cell_angle_gamma 90.00
loop_
_atom_site_label
_atom_site_fract_x
_atom_site_fract_y
_atom_site_fract_z
Mn1 0.000 0.000 0.000
Bi1 0.500 0.500 0.500
As1 0.000 0.500 0.000
Br1 0.000 0.000 0.500
```

Properties
polymorph energy (0 for the lowest one) = 0.00 kcal/mol of atoms
formation energy without anion corrections = 258 meV/atom
DOS at the Fermi energy = 3.08 states/eV per cell



[9]
Density functional theory data (PBE-GGA) for a relaxed structure of YHfAu.

Structure (CIF):
```
data_YHfAu
_chemical_formula_sum 'Y4 Hf4 Au4'
_symmetry_space_group_name_H-M 'C m c 21'
_symmetry_Int_Tables_number 36
_cell_length_a 3.662
_cell_length_b 12.400
_cell_length_c 6.454
_cell_angle_alpha 90.00
_cell_angle_beta 90.00
_cell_angle_gamma 90.00
loop_
_symmetry_equiv_pos_as_xyz
'x,y,z'
'-x,-y,z+1/2'
'-x,y,z'
'x,-y,z+1/2'
'x+1/2,y+1/2,z'
'-x+1/2,-y+1/2,z+1/2'
'-x+1/2,y+1/2,z'
'x+1/2,-y+1/2,z+1/2'
loop_
_atom_site_label
_atom_site_fract_x
_atom_site_fract_y
_atom_site_fract_z
Y1 0.000 0.197 0.000
Hf1 0.000 0.499 0.248
Au1 0.000 0.109 0.497
```

Properties
energy of formation from the pure elements = -438 meV per atom
polymorph energy (0 for the lowest one) = 0.88 kcal/mol of atoms
DOS at the Fermi energy = 10.97 states/eV per cell



[10]
Density functional theory data (PBE-GGA) for a relaxed structure of Dy3Y3Ho.

Structure (CIF):
```
data_Dy3Y3Ho
_chemical_formula_sum 'Dy18 Y18 Ho6'
_symmetry_space_group_name_H-M 'R -3'
_symmetry_Int_Tables_number 148
_symmetry_space_group_name_Hall '-R 3'
_cell_length_a 6.1806
_cell_length_b 6.1806
_cell_length_c 42.4347
_cell_angle_alpha 90.00
_cell_angle_beta 90.00
_cell_angle_gamma 120.00
loop_
_atom_site_label
_atom_site_fract_x
_atom_site_fract_y
_atom_site_fract_z
Dy1 0.0002 0.3314 0.1330
Y1 0.0003 0.3332 0.2670
Ho1 0.0000 0.0000 0.3333
```

Properties
energy of formation from the pure elements = 146 meV per atom
polymorph energy (0 for the lowest one) = 0.00 kcal/mol of atoms
DOS at the Fermi energy = 61.25 states/eV per cell



[11]
Density functional theory data (PBE-GGA) for a relaxed structure of Rb2SrI.

Structure (CIF):
```
data_Rb2SrI
_chemical_formula_sum 'Rb8 Sr4 I4'
_symmetry_space_group_name_H-M 'F m -3 m'
_symmetry_Int_Tables_number 225
_symmetry_space_group_name_Hall '-F 4 2 3'
_cell_length_a 10.063
_cell_length_b 10.063
_cell_length_c 10.063
_cell_angle_alpha 90.00
_cell_angle_beta 90.00
_cell_angle_gamma 90.00
loop_
_atom_site_label
_atom_site_fract_x
_atom_site_fract_y
_atom_site_fract_z
Rb1 0.250 0.250 0.250
Sr1 0.000 0.000 0.000
I1 0.000 0.000 0.500
```

Properties
polymorph energy (0 for the lowest one) = 7.59 kcal/mol of atoms
formation energy without anion corrections = -269 meV/atom
DOS at the Fermi energy = 19.82 states/eV per cell



[12]
Density functional theory data (PBE-GGA) for a relaxed structure of Sm12DyTm5.

Structure (CIF):
```
data_Sm12DyTm5
_chemical_formula_sum 'Sm24 Dy2 Tm10'
_symmetry_space_group_name_H-M 'C m m m'
_symmetry_Int_Tables_number 65
_symmetry_space_group_name_Hall '-C 2 2'
_cell_length_a 15.164
_cell_length_b 15.225
_cell_length_c 5.077
_cell_angle_alpha 90.00
_cell_angle_beta 90.00
_cell_angle_gamma 90.00
loop_
_atom_site_label
_atom_site_fract_x
_atom_site_fract_y
_atom_site_fract_z
Sm1 0.165 0.000 0.000
Sm2 0.165 0.167 0.500
Sm3 0.165 0.333 0.000
Sm4 0.166 0.500 0.500
Dy1 0.000 0.500 0.000
Tm1 0.000 0.000 0.500
Tm2 0.000 0.167 0.000
Tm3 0.000 0.333 0.500
```

Properties
energy of formation from the pure elements = 21 meV per atom
DOS at the Fermi energy = 52.12 states/eV per cell